Tl2Bi2Pb5 | PBE | optimized geometry

Results
Formation energy from the elements in eV/atom: 0.04
Crystal system: orthorhombic

Lattice parameters (Å, degrees): 20.2699 9.1333 6.4115 90.00 90.00 90.00
With the nearest neighbours (Å) after each atom.
Space group Ima2 (No. 46)
Asymmetric unit:
Tl1 0.0684 0.1083 0.0000 (multiplicity 8)  5 Pb 3.39-3.73, 1 Tl 3.41, 2 Bi 3.62-3.64
Bi1 0.0000 0.0000 0.4984 (multiplicity 4)  6 Pb 3.38-3.44, 4 Tl 3.62-3.64
Bi2 0.2500 0.7133 0.9726 (multiplicity 4)  7 Pb 3.26-3.61, 2 Bi 3.27
Pb1 0.0956 0.7463 0.7461 (multiplicity 8)  2 Pb 3.21, 3 Bi 3.38-3.46
Pb2 0.1651 0.0889 0.5119 (multiplicity 8)  2 Bi 3.26-3.44, 1 Tl 3.39, 3 Pb 3.42-3.57
Pb3 0.2500 0.0875 0.0247 (multiplicity 4)  6 Pb 3.42-3.71, 1 Bi 3.43, 2 Tl 3.69

TaIrW2 | PBE | optimized geometry

Results
Formation energy from the elements in eV/atom: 0.14
Crystal system: trigonal

Lattice parameters (Å, degrees): 2.8195 2.8195 28.6648 90.00 90.00 120.00
With the nearest neighbours (Å) after each atom.
Space group R-3m (No. 166, hexagonal axes)
Asymmetric unit:
Ta1 0.0000 0.0000 0.0000 (multiplicity 3)  6 Ta 2.82, 6 W 3.02
Ir1 0.0000 0.0000 0.5000 (multiplicity 3)  6 W 2.76, 6 Ir 2.82
W1 0.0000 0.0000 0.2446 (multiplicity 6)  3 Ir 2.76, 6 W 2.82, 3 Ta 3.02

Ta4GeS8 | PBE | optimized geometry

Results
Total DFT energy (no corrections) in eV per atom: -7.391
Crystal system: trigonal

Lattice parameters (Å, degrees): 6.7019 6.7019 20.7381 90.00 90.00 120.00
With the nearest neighbours (Å) after each atom.
Space group R-3m (No. 166, hexagonal axes)
Asymmetric unit:
Ta1 0.0000 0.0000 0.0000 (multiplicity 3)  6 S 2.51
Ta2 0.0000 0.5000 0.0000 (multiplicity 9)  6 S 2.48-2.49
Ge1 0.0000 0.0000 0.5000 (multiplicity 3)  6 S 2.68
S1 0.0000 0.0000 0.2587 (multiplicity 6)  3 Ta 2.48
S2 0.0031 0.5015 0.2569 (multiplicity 18)  3 Ta 2.49-2.51, 1 Ge 2.68

Number 1: spin magnetization 0.00 μB/cell. Number 2: spin magnetization 0.00 μB/cell. Number 3: spin magnetization 0.00 μB/cell.